P | VPAuO2: relaxed, PBE+U.

Cell lengths 3.990, 3.990, 5.091 Å; angles 90.00, 90.00, 90.00 degrees
Sites, in units of the cell vectors:
V 0.000 0.000 0.000
P 0.500 0.500 0.000
Au 0.500 0.500 0.500
O 0.000 0.500 0.500
O 0.500 0.000 0.500

Values from the calculation:
**Total magnetic moment**: 2.30 Bohr magnetons per cell
**ρ**: 6.37 g/cm3

Q | VPAuO2: relaxed, PBE+U.

Cell lengths 3.653, 3.653, 5.416 Å; angles 90.00, 90.00, 90.00 degrees
Sites, in units of the cell vectors:
V 0.000 0.000 0.000
P 0.000 0.000 0.500
Au 0.500 0.500 0.500
O 0.000 0.500 0.000
O 0.500 0.000 0.000

Values from the calculation:
**Total magnetic moment**: 0.16 Bohr magnetons per cell
**ρ**: 7.14 g/cm3

Least stable: P

P | P2WAuO: relaxed, PBE+U.

Cell lengths 4.829, 4.829, 4.031 Å; angles 90.00, 90.00, 90.00 degrees
Sites, in units of the cell vectors:
P 0.000 0.500 0.000
P 0.500 0.000 0.000
W 0.000 0.000 0.500
Au 0.500 0.500 0.000
O 0.500 0.500 0.500

Values from the calculation:
**Total magnetic moment**: 1.98 Bohr magnetons per cell
**ρ**: 8.10 g/cm3

Q | P2WAuO: relaxed, PBE+U.

Cell lengths 4.850, 4.850, 3.799 Å; angles 90.00, 90.00, 90.00 degrees
Sites, in units of the cell vectors:
P 0.000 0.500 0.000
P 0.500 0.000 0.000
W 0.000 0.000 0.000
Au 0.500 0.500 0.500
O 0.000 0.000 0.500

Values from the calculation:
**Total magnetic moment**: 0.00 Bohr magnetons per cell
**ρ**: 8.52 g/cm3

Least stable: P